VASP calculation (PBE) on a geometry-optimized CuNiP2 structure.

Cell: 5.9091 5.9091 5.9091 Å, 90.00 90.00 90.00°
Closest atoms and distances in Å follow each position.
Space group F-43m (No. 216)
Unique sites:
Cu: 0.0000 0.0000 0.0000 [4 per cell]  4 Ni 2.56, 4 P 2.56
Ni: 0.2500 0.2500 0.2500 [4 per cell]  4 Cu 2.56, 4 P 2.56
P: 0.0000 0.0000 0.5000 [4 per cell]  4 Ni 2.56, 4 P 2.56
P: 0.2500 0.2500 0.7500 [4 per cell]  4 Cu 2.56, 4 P 2.56

## Properties
Total magnetic moment, μB per formula unit: 0.00


VASP calculation (PBE) on a geometry-optimized Cu2Ni4P structure.

Cell: 4.1089 4.1089 11.6945 Å, 90.00 90.00 90.00°
Closest atoms and distances in Å follow each position.
Space group I4/mmm (No. 139)
Unique sites:
Cu: 0.0000 0.0000 0.1202 [4 per cell]  5 Ni 2.36-2.49
Ni: 0.0000 0.0000 0.3218 [4 per cell]  1 P 2.08
Ni: 0.0000 0.5000 0.0000 [4 per cell]  2 P 2.05
P: 0.0000 0.0000 0.5000 [2 per cell]  6 Ni 2.05-2.08

## Properties
Total magnetic moment, μB per formula unit: 0.00


VASP calculation (PBE) on a geometry-optimized Cu3NiP structure.

Cell: 4.3394 4.3394 4.3394 Å, 90.00 90.00 90.00°
Closest atoms and distances in Å follow each position.
Space group Pm-3m (No. 221)
Unique sites:
Cu: 0.0000 0.0000 0.5000 [3 per cell]  2 Ni 2.17
Ni: 0.0000 0.0000 0.0000 [1 per cell]  6 Cu 2.17
P: 0.5000 0.5000 0.5000 [1 per cell]  12 Cu 3.07

## Properties
E above lowest polymorph, meV/atom: 560.2
Total magnetic moment, μB per formula unit: 0.58


VASP calculation (PBE) on a geometry-optimized CuNiP structure.

Cell: 5.3983 5.3983 5.3983 Å, 90.00 90.00 90.00°
Closest atoms and distances in Å follow each position.
Space group F-43m (No. 216)
Unique sites:
Cu: 0.0000 0.0000 0.0000 [4 per cell]  4 Ni 2.34
Ni: 0.2500 0.2500 0.2500 [4 per cell]  4 P 2.34, 4 Cu 2.34
P: 0.0000 0.0000 0.5000 [4 per cell]  4 Ni 2.34

## Properties
Total magnetic moment, μB per formula unit: 0.00


no.,V (Å³ per cell),formation energy from the elements (meV per atom)
1,206.33,401
2,197.44,353
3,81.71,1036
4,157.32,-96